This record from Alexandria describes ZrReB4 after structural relaxation. The functional is PBE-GGA.

The structure in POSCAR format:
```
ZrReB4
1.0
-2.607 -1.331 -1.977
-0.390 -4.621 3.625
-7.632 5.589 6.302
Re B Zr
4 16 4
Direct
0.000 0.858 0.593 Re
0.000 0.642 0.093 Re
0.000 0.142 0.407 Re
0.000 0.358 0.907 Re
0.500 0.205 0.813 B
0.500 0.795 0.187 B
0.500 0.022 0.694 B
0.500 0.633 0.530 B
0.500 0.385 0.048 B
0.500 0.478 0.194 B
0.500 0.522 0.806 B
0.500 0.615 0.952 B
0.500 0.867 0.030 B
0.500 0.367 0.470 B
0.500 0.885 0.452 B
0.500 0.115 0.548 B
0.500 0.978 0.306 B
0.500 0.295 0.313 B
0.500 0.133 0.970 B
0.500 0.705 0.687 B
0.000 0.371 0.651 Zr
0.000 0.129 0.151 Zr
0.000 0.871 0.849 Zr
0.000 0.629 0.349 Zr
```

Computed properties:
- formation energy from the elements (eV per atom) = -0.548
- magnetization (μB per cell) = 0.00